1.
Below is a PBEsol-optimized structure of YFeCo3, with properties calculated at the SCAN level.

POSCAR file:
```
YFeCo3
1.0
-3.451 2.344 0.894
0.382 -1.012 4.127
2.479 3.418 0.609
Fe Co Y
1 3 1
direct
0.000 0.000 0.000 Fe
0.000 0.000 0.500 Co
0.000 0.500 0.000 Co
0.500 0.000 0.000 Co
0.500 0.500 0.500 Y
```

Results
- DFT formation energy (eV/f.u.) = 2.0
- energy (eV for the cell shown) = -95.9


2.
Below is a PBEsol-optimized structure of YAlSi, with properties calculated at the SCAN level.

POSCAR file:
```
YAlSi
1.0
-3.713 2.257 -0.987
-3.154 0.563 3.097
-0.693 4.031 1.767
Al Y Si
1 1 1
direct
0.500 0.500 0.500 Al
0.000 0.000 0.000 Y
0.250 0.250 0.250 Si
```

Results
- raw formation energy (kJ/mol of atoms) = -19.8
- energy (eV for the cell shown) = -46.2


3.
Below is a PBEsol-optimized structure of Li5Mg, with properties calculated at the SCAN level.

POSCAR file:
```
Li5Mg
1.0
-1.611 3.324 -3.740
-4.746 -0.611 -2.177
-4.197 3.897 1.394
Li Mg
5 1
direct
0.168 0.501 0.499 Li
0.667 0.667 0.999 Li
0.499 0.832 0.501 Li
0.333 0.333 0.001 Li
0.832 0.168 0.500 Li
0.000 0.000 0.000 Mg
```

Results
- DFT formation energy (eV/f.u.) = -0.1
- polymorph energy (0 for the lowest one) (meV/atom) = 2
- energy (eV for the cell shown) = -17.1


4.
Below is a PBEsol-optimized structure of Na2AlAgCl6, with properties calculated at the SCAN level.

POSCAR file:
```
Na2AlAgCl6
1.0
-4.279 -2.104 -5.067
-4.738 -4.934 1.273
-6.756 1.645 0.245
Cl Na Ag Al
6 2 1 1
direct
0.765 0.765 0.235 Cl
0.235 0.765 0.765 Cl
0.765 0.235 0.235 Cl
0.235 0.235 0.765 Cl
0.235 0.765 0.235 Cl
0.765 0.235 0.765 Cl
0.250 0.250 0.250 Na
0.750 0.750 0.750 Na
0.500 0.500 0.500 Ag
0.000 0.000 0.000 Al
```

Results
- raw formation energy (kJ/mol of atoms) = -142.3
- energy (eV for the cell shown) = -110.2


5.
Below is a PBEsol-optimized structure of UO2, with properties calculated at the SCAN level.

POSCAR file:
```
UO2
1.0
-1.602 -3.012 1.636
0.513 -3.448 -1.471
2.147 -2.531 1.816
O U
2 1
direct
0.750 0.750 0.750 O
0.250 0.250 0.250 O
0.500 0.500 0.500 U
```

Results
- raw formation energy (kJ/mol of atoms) = -328.3
- energy (eV for the cell shown) = -126.2


6.
Below is a PBEsol-optimized structure of CuAs3H, with properties calculated at the SCAN level.

POSCAR file:
```
CuAs3H
1.0
4.616 0.000 0.000
0.000 4.616 0.000
0.000 0.000 4.616
As Cu H
3 1 1
direct
0.500 0.000 0.000 As
0.000 0.500 0.000 As
0.000 0.000 0.500 As
0.000 0.000 0.000 Cu
0.500 0.500 0.500 H
```

Results
- energy (eV for the cell shown) = -73.6


Number 1: D(E_F) 2.498 states/eV/cell. Number 2: D(E_F) 1.254 states/eV/cell. Number 3: D(E_F) 2.256 states/eV/cell. Number 4: D(E_F) 0.000 states/eV/cell. Number 5: D(E_F) 4.940 states/eV/cell. Number 6: D(E_F) 2.727 states/eV/cell.